Compound: Mg2MnW
Source: Alexandria
Functional: PBE-GGA
Structure: optimized geometry

- Calculated formation energy: 1.002 eV per atom

Geometry as CIF:
```
data_Mg2MnW
_symmetry_space_group_name_H-M 'I -4 2 d'
_symmetry_Int_Tables_number 122
_symmetry_space_group_name_Hall 'I -4 2bw'
_cell_length_a 7.357
_cell_length_b 7.357
_cell_length_c 5.248
_cell_angle_alpha 90.00
_cell_angle_beta 90.00
_cell_angle_gamma 90.00
loop_
_atom_site_label
_atom_site_type_symbol
_atom_site_fract_x
_atom_site_fract_y
_atom_site_fract_z
_atom_site_occupancy
Mg1 Mg 0.231 0.750 0.125 1
Mn1 Mn 0.000 0.000 0.000 1
W1 W 0.000 0.000 0.500 1
```

=====

Compound: MgMnW2
Source: Alexandria
Functional: PBE-GGA
Structure: optimized geometry

- Calculated formation energy: 0.383 eV per atom

Geometry as CIF:
```
data_MgMnW2
_symmetry_space_group_name_H-M 'F -4 3 m'
_symmetry_Int_Tables_number 216
_symmetry_space_group_name_Hall 'F -4 2 3'
_cell_length_a 6.317
_cell_length_b 6.317
_cell_length_c 6.317
_cell_angle_alpha 90.00
_cell_angle_beta 90.00
_cell_angle_gamma 90.00
loop_
_atom_site_label
_atom_site_type_symbol
_atom_site_fract_x
_atom_site_fract_y
_atom_site_fract_z
_atom_site_occupancy
Mg1 Mg 0.000 0.000 0.000 1
Mn1 Mn 0.250 0.250 0.750 1
W1 W 0.000 0.000 0.500 1
W2 W 0.250 0.250 0.250 1
```

=====

Compound: Mg2MnW
Source: Alexandria
Functional: PBE-GGA
Structure: optimized geometry

- Calculated formation energy: 0.412 eV per atom

Geometry as CIF:
```
data_Mg2MnW
_symmetry_space_group_name_H-M 'C m m m'
_symmetry_Int_Tables_number 65
_symmetry_space_group_name_Hall '-C 2 2'
_cell_length_a 3.565
_cell_length_b 4.235
_cell_length_c 9.083
_cell_angle_alpha 90.00
_cell_angle_beta 90.00
_cell_angle_gamma 90.00
loop_
_atom_site_label
_atom_site_type_symbol
_atom_site_fract_x
_atom_site_fract_y
_atom_site_fract_z
_atom_site_occupancy
Mg1 Mg 0.000 0.000 0.248 1
Mn1 Mn 0.000 0.500 0.000 1
W1 W 0.000 0.500 0.500 1
```

=====

Compound: Mg2MnW
Source: Alexandria
Functional: PBE-GGA
Structure: optimized geometry

- Calculated formation energy: 0.478 eV per atom

Geometry as CIF:
```
data_Mg2MnW
_symmetry_space_group_name_H-M 'R -3 m'
_symmetry_Int_Tables_number 166
_symmetry_space_group_name_Hall '-R 3 2"'
_cell_length_a 2.8680
_cell_length_b 2.8680
_cell_length_c 29.1187
_cell_angle_alpha 90.00
_cell_angle_beta 90.00
_cell_angle_gamma 120.00
loop_
_atom_site_label
_atom_site_type_symbol
_atom_site_fract_x
_atom_site_fract_y
_atom_site_fract_z
_atom_site_occupancy
Mg1 Mg 0.0000 0.0000 0.2489 1
Mn1 Mn 0.0000 0.0000 0.5000 1
W1 W 0.0000 0.0000 0.0000 1
```

=====

Compound: Mg2MnW
Source: Alexandria
Functional: PBE-GGA
Structure: optimized geometry

- Calculated formation energy: 0.474 eV per atom

Geometry as CIF:
```
data_Mg2MnW
_symmetry_space_group_name_H-M 'P m m m'
_symmetry_Int_Tables_number 47
_symmetry_space_group_name_Hall '-P 2 2'
_cell_length_a 3.121
_cell_length_b 4.339
_cell_length_c 4.706
_cell_angle_alpha 90.00
_cell_angle_beta 90.00
_cell_angle_gamma 90.00
loop_
_atom_site_label
_atom_site_type_symbol
_atom_site_fract_x
_atom_site_fract_y
_atom_site_fract_z
_atom_site_occupancy
Mg1 Mg 0.000 0.000 0.000 1
Mg2 Mg 0.500 0.500 0.000 1
Mn1 Mn 0.000 0.500 0.500 1
W1 W 0.500 0.000 0.500 1
```

=====

Compound: Mg2MnW
Source: Alexandria
Functional: PBE-GGA
Structure: optimized geometry

- Calculated formation energy: 0.420 eV per atom

Geometry as CIF:
```
data_Mg2MnW
_symmetry_space_group_name_H-M 'F -4 3 m'
_symmetry_Int_Tables_number 216
_symmetry_space_group_name_Hall 'F -4 2 3'
_cell_length_a 6.302
_cell_length_b 6.302
_cell_length_c 6.302
_cell_angle_alpha 90.00
_cell_angle_beta 90.00
_cell_angle_gamma 90.00
loop_
_atom_site_label
_atom_site_type_symbol
_atom_site_fract_x
_atom_site_fract_y
_atom_site_fract_z
_atom_site_occupancy
Mg1 Mg 0.000 0.000 0.000 1
Mg2 Mg 0.250 0.250 0.250 1
Mn1 Mn 0.250 0.250 0.750 1
W1 W 0.000 0.000 0.500 1
```

=====

Compound: MgMnW2
Source: Alexandria
Functional: PBE-GGA
Structure: optimized geometry

- Calculated formation energy: 0.515 eV per atom

Geometry as CIF:
```
data_MgMnW2
_symmetry_space_group_name_H-M 'P 4/m m m'
_symmetry_Int_Tables_number 123
_symmetry_space_group_name_Hall '-P 4 2'
_cell_length_a 3.246
_cell_length_b 3.246
_cell_length_c 5.995
_cell_angle_alpha 90.00
_cell_angle_beta 90.00
_cell_angle_gamma 90.00
loop_
_atom_site_label
_atom_site_type_symbol
_atom_site_fract_x
_atom_site_fract_y
_atom_site_fract_z
_atom_site_occupancy
Mg1 Mg 0.000 0.000 0.000 1
Mn1 Mn 0.000 0.000 0.500 1
W1 W 0.500 0.500 0.294 1
```

=====

Compound: Mg2MnW
Source: Alexandria
Functional: PBE-GGA
Structure: optimized geometry

- Calculated formation energy: 0.216 eV per atom

Geometry as CIF:
```
data_Mg2MnW
_symmetry_space_group_name_H-M 'P 4 m m'
_symmetry_Int_Tables_number 99
_symmetry_space_group_name_Hall 'P 4 -2'
_cell_length_a 3.081
_cell_length_b 3.081
_cell_length_c 7.116
_cell_angle_alpha 90.00
_cell_angle_beta 90.00
_cell_angle_gamma 90.00
loop_
_atom_site_label
_atom_site_type_symbol
_atom_site_fract_x
_atom_site_fract_y
_atom_site_fract_z
_atom_site_occupancy
Mg1 Mg 0.000 0.000 0.000 1
Mg2 Mg 0.500 0.500 0.312 1
Mn1 Mn 0.000 0.000 0.561 1
W1 W 0.500 0.500 0.726 1
```

=====

Compound: Mg2MnW
Source: Alexandria
Functional: PBE-GGA
Structure: optimized geometry

- Calculated formation energy: 0.648 eV per atom

Geometry as CIF:
```
data_Mg2MnW
_symmetry_space_group_name_H-M 'P 4/m m m'
_symmetry_Int_Tables_number 123
_symmetry_space_group_name_Hall '-P 4 2'
_cell_length_a 4.883
_cell_length_b 4.883
_cell_length_c 2.881
_cell_angle_alpha 90.00
_cell_angle_beta 90.00
_cell_angle_gamma 90.00
loop_
_atom_site_label
_atom_site_type_symbol
_atom_site_fract_x
_atom_site_fract_y
_atom_site_fract_z
_atom_site_occupancy
Mg1 Mg 0.000 0.500 0.000 1
Mn1 Mn 0.000 0.000 0.500 1
W1 W 0.500 0.500 0.500 1
```

=====

Compound: MgMnW2
Source: Alexandria
Functional: PBE-GGA
Structure: optimized geometry

- Calculated formation energy: 0.390 eV per atom

Geometry as CIF:
```
data_MgMnW2
_symmetry_space_group_name_H-M 'P 4/m m m'
_symmetry_Int_Tables_number 123
_symmetry_space_group_name_Hall '-P 4 2'
_cell_length_a 2.839
_cell_length_b 2.839
_cell_length_c 7.797
_cell_angle_alpha 90.00
_cell_angle_beta 90.00
_cell_angle_gamma 90.00
loop_
_atom_site_label
_atom_site_type_symbol
_atom_site_fract_x
_atom_site_fract_y
_atom_site_fract_z
_atom_site_occupancy
Mg1 Mg 0.000 0.000 0.000 1
Mn1 Mn 0.000 0.000 0.500 1
W1 W 0.500 0.500 0.296 1
```

=====

Compound: MgMn2W
Source: Alexandria
Functional: PBE-GGA
Structure: optimized geometry

- Calculated formation energy: 0.816 eV per atom

Geometry as CIF:
```
data_MgMn2W
_symmetry_space_group_name_H-M 'I -4 2 d'
_symmetry_Int_Tables_number 122
_symmetry_space_group_name_Hall 'I -4 2bw'
_cell_length_a 6.878
_cell_length_b 6.878
_cell_length_c 5.446
_cell_angle_alpha 90.00
_cell_angle_beta 90.00
_cell_angle_gamma 90.00
loop_
_atom_site_label
_atom_site_type_symbol
_atom_site_fract_x
_atom_site_fract_y
_atom_site_fract_z
_atom_site_occupancy
Mg1 Mg 0.000 0.000 0.000 1
Mn1 Mn 0.221 0.250 0.625 1
W1 W 0.000 0.000 0.500 1
```

=====

Compound: MgMnW2
Source: Alexandria
Functional: PBE-GGA
Structure: optimized geometry

- Calculated formation energy: 0.315 eV per atom

Geometry as CIF:
```
data_MgMnW2
_symmetry_space_group_name_H-M 'C m m m'
_symmetry_Int_Tables_number 65
_symmetry_space_group_name_Hall '-C 2 2'
_cell_length_a 3.191
_cell_length_b 4.386
_cell_length_c 8.879
_cell_angle_alpha 90.00
_cell_angle_beta 90.00
_cell_angle_gamma 90.00
loop_
_atom_site_label
_atom_site_type_symbol
_atom_site_fract_x
_atom_site_fract_y
_atom_site_fract_z
_atom_site_occupancy
Mg1 Mg 0.000 0.000 0.000 1
Mn1 Mn 0.000 0.000 0.500 1
W1 W 0.000 0.500 0.274 1
```

=====

The evaluated M_tot for the records listed, in turn: 11.144; 12.174; 7.156; 11.205; 0.953; 4.026; 0.764; 0.218; 3.714; 0.000; 14.284; 2.535 μB per cell.